! PBE Rb2CaNp3O12, relaxed; values from VASP
&SYSTEM
  ibrav = 0, nat = 18, ntyp = 4
/
ATOMIC_SPECIES
Rb 85.47 Rb.upf
Ca 40.08 Ca.upf
Np 237.00 Np.upf
O 16.00 O.upf
CELL_PARAMETERS angstrom
-1.1734 4.4286 -6.1955
-6.9841 -0.2837 -3.2428
-4.5388 6.1613 0.9010
ATOMIC_POSITIONS crystal
Rb 0.6251 0.6251 0.6251
Rb 0.3749 0.3749 0.3749
Ca 0.0000 0.0000 0.0000
Np 0.5000 0.0000 0.0000
Np 0.0000 0.5000 0.0000
Np 0.0000 0.0000 0.5000
O 0.3066 0.3066 0.9259
O 0.9198 0.9198 0.3562
O 0.3562 0.9198 0.9198
O 0.9259 0.3066 0.3066
O 0.9198 0.3562 0.9198
O 0.3066 0.9259 0.3066
O 0.6934 0.6934 0.0741
O 0.0802 0.0802 0.6438
O 0.6438 0.0802 0.0802
O 0.0741 0.6934 0.6934
O 0.0802 0.6438 0.0802
O 0.6934 0.0741 0.6934
! E_form (uncorrected) in eV per atom: -2.63
! SG: R-3m
! Magnetic moment in μB/atom: 0.056
! V in Å³ per cell: 344
! DFT total energy in eV for the cell shown: -149.56

---

! PBE HfPCl3, relaxed; values from VASP
&SYSTEM
  ibrav = 0, nat = 5, ntyp = 3
/
ATOMIC_SPECIES
P 30.97 P.upf
Hf 178.49 Hf.upf
Cl 35.45 Cl.upf
CELL_PARAMETERS angstrom
-2.5414 -1.1109 4.1858
-1.7348 -4.1857 -2.1642
3.9680 -2.5415 1.7347
ATOMIC_POSITIONS crystal
P 0.5000 0.5000 0.5000
Hf 0.0000 0.0000 0.0000
Cl 0.0000 0.5000 0.0000
Cl 0.0000 0.0000 0.5000
Cl 0.5000 0.0000 0.0000
! E_form (uncorrected) in eV per atom: -0.46
! SG: Pm-3m
! Magnetic moment in μB/atom: 0.568
! V in Å³ per cell: 127
! DFT total energy in eV for the cell shown: -23.21

---

Question: What is the formula in the first record?
Answer: Rb2CaNp3O12